# HoSnIrRu, relaxed, DFT PBE
data_HoSnIrRu
_cell_length_a 6.6096
_cell_length_b 6.6096
_cell_length_c 6.6096
_cell_angle_alpha 90.00
_cell_angle_beta 90.00
_cell_angle_gamma 90.00
_symmetry_space_group_name_H-M 'F -4 3 m'
_symmetry_Int_Tables_number 216
_symmetry_space_group_name_Hall 'F -4 2 3'
loop_
_atom_site_label
_atom_site_fract_x
_atom_site_fract_y
_atom_site_fract_z
_atom_site_occupancy
Ho1 0.0000 0.0000 0.0000 1
Sn1 0.0000 0.0000 0.5000 1
Ir1 0.2500 0.2500 0.7500 1
Ru1 0.2500 0.2500 0.2500 1
# D(E_F), states/eV/cell: 3.05
# Formation enthalpy at 0 K, eV/atom: -0.5220

***

# HoTaIrRu, relaxed, DFT PBE
data_HoTaIrRu
_cell_length_a 6.5642
_cell_length_b 6.5642
_cell_length_c 6.5642
_cell_angle_alpha 90.00
_cell_angle_beta 90.00
_cell_angle_gamma 90.00
_symmetry_space_group_name_H-M 'F -4 3 m'
_symmetry_Int_Tables_number 216
_symmetry_space_group_name_Hall 'F -4 2 3'
loop_
_atom_site_label
_atom_site_fract_x
_atom_site_fract_y
_atom_site_fract_z
_atom_site_occupancy
Ho1 0.0000 0.0000 0.0000 1
Ta1 0.0000 0.0000 0.5000 1
Ir1 0.2500 0.2500 0.7500 1
Ru1 0.2500 0.2500 0.2500 1
# D(E_F), states/eV/cell: 14.95
# Formation enthalpy at 0 K, eV/atom: -0.4317

***

# TbHoIrRu, relaxed, DFT PBE
data_TbHoIrRu
_cell_length_a 6.8235
_cell_length_b 6.8235
_cell_length_c 6.8235
_cell_angle_alpha 90.00
_cell_angle_beta 90.00
_cell_angle_gamma 90.00
_symmetry_space_group_name_H-M 'F -4 3 m'
_symmetry_Int_Tables_number 216
_symmetry_space_group_name_Hall 'F -4 2 3'
loop_
_atom_site_label
_atom_site_fract_x
_atom_site_fract_y
_atom_site_fract_z
_atom_site_occupancy
Tb1 0.0000 0.0000 0.0000 1
Ho1 0.0000 0.0000 0.5000 1
Ir1 0.2500 0.2500 0.2500 1
Ru1 0.2500 0.2500 0.7500 1
# Energy relative to the lowest polymorph listed for this composition, eV/atom: 0.000
# D(E_F), states/eV/cell: 8.87
# Formation enthalpy at 0 K, eV/atom: -0.6045

***

# TbHoIrRu, relaxed, DFT PBE
data_TbHoIrRu
_cell_length_a 3.4143
_cell_length_b 3.4143
_cell_length_c 6.8024
_cell_angle_alpha 90.00
_cell_angle_beta 90.00
_cell_angle_gamma 90.00
_symmetry_space_group_name_H-M 'P 4 m m'
_symmetry_Int_Tables_number 99
loop_
_symmetry_equiv_pos_as_xyz
'x,y,z'
'-y,x,z'
'-x,-y,z'
'y,-x,z'
'-x,y,z'
'y,x,z'
'x,-y,z'
'-y,-x,z'
loop_
_atom_site_label
_atom_site_fract_x
_atom_site_fract_y
_atom_site_fract_z
_atom_site_occupancy
Tb1 0.0000 0.0000 0.0000 1
Ho1 0.0000 0.0000 0.4917 1
Ir1 0.5000 0.5000 0.7430 1
Ru1 0.5000 0.5000 0.2478 1
# Energy relative to the lowest polymorph listed for this composition, eV/atom: 0.020
# D(E_F), states/eV/cell: 1.27
# Formation enthalpy at 0 K, eV/atom: -0.5850

***

# HoTmIrRu, relaxed, DFT PBE
data_HoTmIrRu
_cell_length_a 6.7600
_cell_length_b 6.7600
_cell_length_c 6.7600
_cell_angle_alpha 90.00
_cell_angle_beta 90.00
_cell_angle_gamma 90.00
_symmetry_space_group_name_H-M 'F -4 3 m'
_symmetry_Int_Tables_number 216
_symmetry_space_group_name_Hall 'F -4 2 3'
loop_
_atom_site_label
_atom_site_fract_x
_atom_site_fract_y
_atom_site_fract_z
_atom_site_occupancy
Ho1 0.0000 0.0000 0.0000 1
Tm1 0.0000 0.0000 0.5000 1
Ir1 0.2500 0.2500 0.2500 1
Ru1 0.2500 0.2500 0.7500 1
# D(E_F), states/eV/cell: 7.09
# Formation enthalpy at 0 K, eV/atom: -0.6794

***

# YHoIrRu, relaxed, DFT PBE
data_YHoIrRu
_cell_length_a 6.8172
_cell_length_b 6.8172
_cell_length_c 6.8172
_cell_angle_alpha 90.00
_cell_angle_beta 90.00
_cell_angle_gamma 90.00
_symmetry_space_group_name_H-M 'F -4 3 m'
_symmetry_Int_Tables_number 216
_symmetry_space_group_name_Hall 'F -4 2 3'
loop_
_atom_site_label
_atom_site_fract_x
_atom_site_fract_y
_atom_site_fract_z
_atom_site_occupancy
Y1 0.0000 0.0000 0.0000 1
Ho1 0.0000 0.0000 0.5000 1
Ir1 0.2500 0.2500 0.2500 1
Ru1 0.2500 0.2500 0.7500 1
# D(E_F), states/eV/cell: 8.17
# Formation enthalpy at 0 K, eV/atom: -0.6042

***

# HoZrIrRu, relaxed, DFT PBE
data_HoZrIrRu
_cell_length_a 3.3652
_cell_length_b 3.3652
_cell_length_c 6.6335
_cell_angle_alpha 90.00
_cell_angle_beta 90.00
_cell_angle_gamma 90.00
_symmetry_space_group_name_H-M 'P 4 m m'
_symmetry_Int_Tables_number 99
loop_
_symmetry_equiv_pos_as_xyz
'x,y,z'
'-y,x,z'
'-x,-y,z'
'y,-x,z'
'-x,y,z'
'y,x,z'
'x,-y,z'
'-y,-x,z'
loop_
_atom_site_label
_atom_site_fract_x
_atom_site_fract_y
_atom_site_fract_z
_atom_site_occupancy
Ho1 0.0000 0.0000 0.0000 1
Zr1 0.0000 0.0000 0.4993 1
Ir1 0.5000 0.5000 0.7338 1
Ru1 0.5000 0.5000 0.2666 1
# Energy relative to the lowest polymorph listed for this composition, eV/atom: 0.000
# D(E_F), states/eV/cell: 1.77
# Formation enthalpy at 0 K, eV/atom: -0.7123

***

# HoZrIrRu, relaxed, DFT PBE
data_HoZrIrRu
_cell_length_a 6.6832
_cell_length_b 6.6832
_cell_length_c 6.6832
_cell_angle_alpha 90.00
_cell_angle_beta 90.00
_cell_angle_gamma 90.00
_symmetry_space_group_name_H-M 'F -4 3 m'
_symmetry_Int_Tables_number 216
_symmetry_space_group_name_Hall 'F -4 2 3'
loop_
_atom_site_label
_atom_site_fract_x
_atom_site_fract_y
_atom_site_fract_z
_atom_site_occupancy
Ho1 0.0000 0.0000 0.0000 1
Zr1 0.0000 0.0000 0.5000 1
Ir1 0.2500 0.2500 0.7500 1
Ru1 0.2500 0.2500 0.2500 1
# Energy relative to the lowest polymorph listed for this composition, eV/atom: 0.025
# D(E_F), states/eV/cell: 5.21
# Formation enthalpy at 0 K, eV/atom: -0.6876

***

Number 1: total DFT energy (no corrections) -7.201 eV/atom. Number 2: total DFT energy (no corrections) -9.074 eV/atom. Number 3: total DFT energy (no corrections) -7.441 eV/atom. Number 4: total DFT energy (no corrections) -7.421 eV/atom. Number 5: total DFT energy (no corrections) -7.476 eV/atom. Number 6: total DFT energy (no corrections) -7.899 eV/atom. Number 7: total DFT energy (no corrections) -8.528 eV/atom. Number 8: total DFT energy (no corrections) -8.503 eV/atom.